GaMo2O2: optimized geometry, PBE with a Hubbard U.

Its energy above the most stable polymorph in this dataset is 0.0 meV per atom. The calculation puts the volume at 12.8 A^3/atom. The calculation puts the calculated density at 7.6 g cm⁻³. The value obtained for the magnetic moment is 2.4 μB per cell.

It has space group I4/mmm (No. 139), with a = 3.452 Å, b = 3.452 Å, c = 10.752 Å, α = 90.00°, β = 90.00° and γ = 90.00°. The inequivalent atoms are Ga at (0.000, 0.000, 0.000), Mo at (0.000, 0.000, 0.368) and O at (0.000, 0.500, 0.250).